# 1
A plane-wave DFT calculation with meta-GGA SCAN was carried out for a crystal of P2Pb2O7 relaxed with PBEsol.

Geometry as POSCAR:
```
P2Pb2O7
1.0
6.9559 0.0000 0.0000
0.0556 6.9978 0.0000
0.0143 1.4424 12.6702
P Pb O
8 8 28
Cartesian
0.5858 1.6115 1.2745
1.9125 4.8433 5.0862
2.2784 6.4901 7.5053
2.3318 2.7067 11.5613
4.6940 5.7335 1.1089
4.7475 1.9501 5.1649
5.1134 3.5968 7.5840
6.4400 6.8287 11.3957
1.0220 1.4061 4.6391
1.2757 5.1921 1.7910
1.7754 3.0464 8.2164
2.8953 6.0444 10.8197
4.1305 2.3958 1.8505
5.2505 5.3938 4.4538
5.7502 3.2481 10.8792
6.0039 7.0340 8.0311
0.2592 0.5589 2.3253
0.7220 6.2819 12.1133
0.7784 5.7524 4.5827
1.3779 7.6455 7.0125
1.3712 3.5483 10.6943
1.4102 3.6089 5.8298
1.4348 5.5062 8.3365
1.4539 0.7658 0.1765
1.5040 2.7088 1.8382
2.7878 5.7141 6.1653
2.8654 1.4660 10.8798
2.9051 4.5501 3.9644
3.4666 3.6091 12.0999
3.5150 6.9852 8.2280
3.5109 1.4550 4.4421
3.5593 4.8311 0.5703
4.1208 3.8901 8.7058
4.1605 6.9742 1.7904
4.2381 2.7260 6.5049
5.5219 5.7313 10.8320
5.5720 7.6744 12.4937
5.5910 2.9340 4.3336
5.6156 4.8313 6.8404
5.6547 4.8919 1.9759
5.6480 0.7947 5.6576
6.2474 2.6877 8.0875
6.3039 2.1583 0.5569
6.7666 7.8813 10.3449
```

Calculated values
formation energy from raw total energies	-23.698	eV/f.u.
DOS at the Fermi energy	0.000	states/eV/cell
space-group type	No. 2

# 2
A plane-wave DFT calculation with meta-GGA SCAN was carried out for a crystal of CaAl2Ni relaxed with PBEsol.

Geometry as POSCAR:
```
CaAl2Ni
1.0
2.7294 -4.4941 0.0000
2.7294 4.4941 0.0000
0.0000 0.0000 2.8577
Ca Al Ni
1 2 1
Cartesian
0.0000 0.0000 0.0000
1.3647 2.2470 1.4288
1.3647 -2.2470 1.4288
2.7294 0.0000 0.0000
```

Calculated values
energy of formation	0.163	eV/atom
DOS at the Fermi energy	2.709	states/eV/cell
space-group type	No. 65

# 3
A plane-wave DFT calculation with meta-GGA SCAN was carried out for a crystal of LaZrAl relaxed with PBEsol.

Geometry as POSCAR:
```
LaZrAl
1.0
0.0000 3.3901 3.3901
3.3901 0.0000 3.3901
3.3901 3.3901 0.0000
La Zr Al
1 1 1
Cartesian
0.0000 0.0000 0.0000
5.0851 5.0851 5.0851
3.3901 3.3901 3.3901
```

Calculated values
energy of formation	0.462	eV/atom
DOS at the Fermi energy	2.392	states/eV/cell
space-group type	No. 216